Entry from Alexandria: crystalline CaAcTe2 at its relaxed geometry (GGA-PBE).

POSCAR file:
```
CaAcTe2
1.0
4.526 0.000 0.000
-2.263 3.919 0.000
0.000 0.000 15.867
Ca Ac Te
2 2 4
Direct
0.000 0.000 0.000
0.000 0.000 0.500
0.333 0.667 0.250
0.667 0.333 0.750
0.333 0.667 0.615
0.333 0.667 0.885
0.667 0.333 0.115
0.667 0.333 0.385
```

Total energy: -37.07 eV per cell
Excess energy over the best structure of this formula in the dataset: 0 meV/atom
Volume: 35.178 A^3/atom
E_form (uncorrected): -1.536 eV per atom
Magnetic moment: 0.182 μB per atom
Space group: No. 194


Entry from Alexandria: crystalline Tb2Pm6Nd3Sc at its relaxed geometry (GGA-PBE).

POSCAR file:
```
Tb2Pm6Nd3Sc
1.0
3.134 -5.429 0.000
3.134 5.429 0.000
-2.091 0.000 11.761
Tb Pm Nd Sc
2 6 3 1
Direct
0.167 0.833 0.000
0.833 0.167 0.000
0.089 0.419 0.756
0.251 0.251 0.244
0.419 0.089 0.756
0.581 0.911 0.244
0.749 0.749 0.756
0.911 0.581 0.244
0.000 0.000 0.500
0.333 0.667 0.500
0.667 0.333 0.500
0.500 0.500 0.000
```

Total energy: -58.06 eV per cell
Volume: 33.348 A^3/atom
Energy relative to the elements: 28 meV/atom
Magnetic moment: 0.000 μB per atom
Space group: No. 12


Entry from Alexandria: crystalline BaSbRuC2 at its relaxed geometry (GGA-PBE).

POSCAR file:
```
BaSbRuC2
1.0
4.306 0.000 0.000
0.000 4.306 0.000
0.000 0.000 6.724
Ba Sb Ru C
1 1 1 2
Direct
0.000 0.000 0.000
0.000 0.000 0.500
0.500 0.500 0.000
0.000 0.500 0.500
0.500 0.000 0.500
```

Total energy: -21.02 eV per cell
Volume: 24.936 A^3/atom
E_form (uncorrected): 2.550 eV per atom
Magnetic moment: 0.383 μB per atom
Space group: No. 123


Entry from Alexandria: crystalline La2CoAgHg at its relaxed geometry (GGA-PBE).

POSCAR file:
```
La2CoAgHg
1.0
5.148 0.000 0.000
0.000 5.148 0.000
0.000 0.000 5.053
La Co Ag Hg
2 1 1 1
Direct
0.000 0.500 0.000
0.500 0.000 0.000
0.000 0.000 0.000
0.000 0.000 0.500
0.500 0.500 0.500
```

Total energy: -21.04 eV per cell
Excess energy over the best structure of this formula in the dataset: 13 meV/atom
Volume: 26.787 A^3/atom
Energy relative to the elements: -186 meV/atom
Magnetic moment: 0.000 μB per atom
Space group: No. 123